Density functional theory data (PBE) for a relaxed structure of CeCd5Au3.

a = 4.0110 Å, b = 15.0851 Å, c = 13.9283 Å
α = 90.00°, β = 90.00°, γ = 90.00°
With the nearest neighbours (Å) after each atom.
Space group Cmcm (No. 63)
Inequivalent atoms, fractional coordinates:
Ce (0.0000, 0.1776, 0.2500) x4  6 Au 3.14
Cd (0.0000, 0.0000, 0.0000) x4  4 Au 2.97, 6 Cd 3.00-3.01
Cd (0.0000, 0.1941, 0.5516) x8  4 Au 2.80-3.00, 3 Cd 2.99-3.01
Cd (0.0000, 0.4418, 0.1469) x8  3 Au 2.82-2.93, 5 Cd 2.87-3.16
Au (0.0000, 0.1625, 0.7500) x4  6 Cd 2.80-2.93, 2 Ce 3.14
Au (0.0000, 0.3791, 0.5878) x8  6 Cd 2.82-3.00, 2 Ce 3.14

Properties
- VASP energy (eV/atom) = -2.52
- ΔE_f (eV per atom) = -0.2596
- total magnetization (μB per formula unit) = 1.05